No. 1
The following is a PBE calculation of crystalline Tb3SmYSc at its relaxed geometry, from Alexandria.

a b c (Å): 7.872 4.995 9.966
angles (deg): 90.00 108.55 90.00
Atoms (fractional coordinates):
Tb (0.168, 0.250, 0.045)
Tb (0.170, 0.750, 0.789)
Tb (0.175, 0.250, 0.541)
Tb (0.825, 0.750, 0.459)
Tb (0.830, 0.250, 0.211)
Tb (0.832, 0.750, 0.955)
Sm (0.500, 0.250, 0.871)
Sm (0.500, 0.750, 0.129)
Y (0.173, 0.750, 0.297)
Y (0.827, 0.250, 0.703)
Sc (0.499, 0.250, 0.380)
Sc (0.501, 0.750, 0.620)

**Symmetry**: No. 11
**Raw total energy**: -5.20 eV/atom
**ΔH_f (0 K)**: 0.038 eV per atom
**Magnetic moment**: 0.000 μB/atom

No. 2
The following is a PBE calculation of crystalline TbSm6Y3Sc2 at its relaxed geometry, from Alexandria.

a b c (Å): 6.163 6.163 11.651
angles (deg): 95.04 95.04 119.97
Atoms (fractional coordinates):
Tb (0.000, 0.000, 0.000)
Sm (0.082, 0.418, 0.244)
Sm (0.255, 0.255, 0.756)
Sm (0.418, 0.082, 0.244)
Sm (0.582, 0.918, 0.756)
Sm (0.745, 0.745, 0.244)
Sm (0.918, 0.582, 0.756)
Y (0.167, 0.833, 0.500)
Y (0.500, 0.500, 0.500)
Y (0.833, 0.167, 0.500)
Sc (0.333, 0.667, 0.000)
Sc (0.667, 0.333, 0.000)

**Symmetry**: No. 12
**Raw total energy**: -5.38 eV/atom
**ΔH_f (0 K)**: 0.036 eV per atom
**Magnetic moment**: 0.000 μB/atom

No. 3
The following is a PBE calculation of crystalline TbSmScZn at its relaxed geometry, from Alexandria.

a b c (Å): 3.493 3.493 8.489
angles (deg): 90.00 90.00 90.00
Atoms (fractional coordinates):
Tb (0.000, 0.000, 0.000)
Sm (0.500, 0.500, 0.312)
Sc (0.000, 0.000, 0.597)
Zn (0.500, 0.500, 0.771)

**Symmetry**: No. 99
**Raw total energy**: -4.39 eV/atom
**ΔH_f (0 K)**: -0.149 eV per atom
**Magnetic moment**: 0.000 μB/atom

No. 4
The following is a PBE calculation of crystalline TbSmScZn at its relaxed geometry, from Alexandria.

a b c (Å): 5.259 5.259 5.259
angles (deg): 60.00 60.00 60.00
Atoms (fractional coordinates):
Tb (0.000, 0.000, 0.000)
Sm (0.500, 0.500, 0.500)
Sc (0.750, 0.750, 0.750)
Zn (0.250, 0.250, 0.250)

**Symmetry**: No. 216
**Raw total energy**: -4.25 eV/atom
**ΔH_f (0 K)**: -0.012 eV per atom
**Magnetic moment**: 0.001 μB/atom

No. 5
The following is a PBE calculation of crystalline Tb2SmZrSc4 at its relaxed geometry, from Alexandria.

a b c (Å): 4.798 4.809 9.311
angles (deg): 90.00 90.00 90.00
Atoms (fractional coordinates):
Tb (0.000, 0.000, 0.000)
Tb (0.500, 0.500, 0.500)
Sm (0.000, 0.000, 0.500)
Zr (0.500, 0.500, 0.000)
Sc (0.000, 0.500, 0.238)
Sc (0.000, 0.500, 0.762)
Sc (0.500, 0.000, 0.238)
Sc (0.500, 0.000, 0.762)

**Symmetry**: No. 47
**Raw total energy**: -5.92 eV/atom
**ΔH_f (0 K)**: 0.058 eV per atom
**Magnetic moment**: 0.000 μB/atom

No. 6
The following is a PBE calculation of crystalline SmScTc at its relaxed geometry, from Alexandria.

a b c (Å): 6.993 6.993 7.366
angles (deg): 90.00 90.00 124.65
Atoms (fractional coordinates):
Sm (0.194, 0.806, 0.887)
Sm (0.306, 0.694, 0.387)
Sm (0.694, 0.306, 0.613)
Sm (0.806, 0.194, 0.113)
Sc (0.207, 0.293, 0.750)
Sc (0.293, 0.207, 0.250)
Sc (0.707, 0.793, 0.750)
Sc (0.793, 0.707, 0.250)
Tc (0.097, 0.903, 0.529)
Tc (0.403, 0.597, 0.029)
Tc (0.597, 0.403, 0.971)
Tc (0.903, 0.097, 0.471)

**Symmetry**: No. 64
**Raw total energy**: -7.12 eV/atom
**ΔH_f (0 K)**: 0.019 eV per atom
**Magnetic moment**: 0.000 μB/atom

No. 7
The following is a PBE calculation of crystalline SmSc2Tc at its relaxed geometry, from Alexandria.

a b c (Å): 10.035 10.035 10.035
angles (deg): 18.95 18.95 18.95
Atoms (fractional coordinates):
Sm (0.000, 0.000, 0.000)
Sc (0.231, 0.231, 0.231)
Sc (0.769, 0.769, 0.769)
Tc (0.500, 0.500, 0.500)

**Symmetry**: No. 166
**Raw total energy**: -6.89 eV/atom
**ΔH_f (0 K)**: 0.052 eV per atom
**Magnetic moment**: 0.000 μB/atom

No. 8
The following is a PBE calculation of crystalline SmScTc at its relaxed geometry, from Alexandria.

a b c (Å): 6.411 6.411 6.411
angles (deg): 149.09 149.09 44.28
Atoms (fractional coordinates):
Sm (0.000, 0.000, 0.000)
Sc (0.266, 0.266, 0.000)
Tc (0.649, 0.649, 0.000)

**Symmetry**: No. 107
**Raw total energy**: -7.18 eV/atom
**ΔH_f (0 K)**: -0.040 eV per atom
**Magnetic moment**: 0.000 μB/atom

No. 9
The following is a PBE calculation of crystalline SmSc2Tc at its relaxed geometry, from Alexandria.

a b c (Å): 3.301 3.301 8.548
angles (deg): 90.00 90.00 90.00
Atoms (fractional coordinates):
Sm (0.000, 0.000, 0.000)
Sc (0.500, 0.500, 0.321)
Sc (0.500, 0.500, 0.679)
Tc (0.000, 0.000, 0.500)

**Symmetry**: No. 123
**Raw total energy**: -7.04 eV/atom
**ΔH_f (0 K)**: -0.099 eV per atom
**Magnetic moment**: 0.000 μB/atom

No. 10
The following is a PBE calculation of crystalline SmSc3Tc at its relaxed geometry, from Alexandria.

a b c (Å): 5.081 5.081 5.081
angles (deg): 90.00 90.00 90.00
Atoms (fractional coordinates):
Sm (0.000, 0.000, 0.000)
Sc (0.000, 0.500, 0.500)
Sc (0.500, 0.000, 0.500)
Sc (0.500, 0.500, 0.000)
Tc (0.500, 0.500, 0.500)

**Symmetry**: No. 221
**Raw total energy**: -6.79 eV/atom
**ΔH_f (0 K)**: 0.026 eV per atom
**Magnetic moment**: 0.000 μB/atom

No. 11
The following is a PBE calculation of crystalline Sm2Sc3Te6 at its relaxed geometry, from Alexandria.

a b c (Å): 7.346 7.346 7.428
angles (deg): 99.61 99.61 119.78
Atoms (fractional coordinates):
Sm (0.164, 0.836, 0.000)
Sm (0.836, 0.164, 0.000)
Sc (0.000, 0.000, 0.500)
Sc (0.327, 0.673, 0.500)
Sc (0.673, 0.327, 0.500)
Te (0.094, 0.414, 0.739)
Te (0.268, 0.268, 0.266)
Te (0.414, 0.094, 0.739)
Te (0.586, 0.906, 0.261)
Te (0.732, 0.732, 0.734)
Te (0.906, 0.586, 0.261)

**Formation energy without anion corrections**: -1.301 eV/atom
**Symmetry**: No. 12
**Raw total energy**: -5.60 eV/atom
**Magnetic moment**: 0.000 μB/atom

No. 12
The following is a PBE calculation of crystalline SmScTe2 at its relaxed geometry, from Alexandria.

a b c (Å): 5.300 5.300 3.763
angles (deg): 90.00 90.00 90.00
Atoms (fractional coordinates):
Sm (0.000, 0.000, 0.000)
Sc (0.500, 0.500, 0.000)
Te (0.000, 0.500, 0.500)
Te (0.500, 0.000, 0.500)

**Formation energy without anion corrections**: -1.084 eV/atom
**Symmetry**: No. 123
**Raw total energy**: -5.42 eV/atom
**Magnetic moment**: 0.317 μB/atom

No. 13
The following is a PBE calculation of crystalline Sm4ScTe4 at its relaxed geometry, from Alexandria.

a b c (Å): 7.903 7.903 7.903
angles (deg): 124.75 124.75 81.94
Atoms (fractional coordinates):
Sm (0.000, 0.500, 0.500)
Sm (0.155, 0.155, 0.000)
Sm (0.500, 0.000, 0.500)
Sm (0.845, 0.845, 0.000)
Sc (0.500, 0.500, 0.000)
Te (0.144, 0.556, 0.000)
Te (0.444, 0.444, 0.588)
Te (0.556, 0.144, 0.000)
Te (0.856, 0.856, 0.412)

**Formation energy without anion corrections**: -0.843 eV/atom
**Symmetry**: No. 121
**Raw total energy**: -5.04 eV/atom
**Magnetic moment**: 0.000 μB/atom

No. 14
The following is a PBE calculation of crystalline SmScTe2 at its relaxed geometry, from Alexandria.

a b c (Å): 7.528 7.528 7.528
angles (deg): 33.04 33.04 33.04
Atoms (fractional coordinates):
Sm (0.000, 0.000, 0.000)
Sc (0.500, 0.500, 0.500)
Te (0.243, 0.243, 0.243)
Te (0.757, 0.757, 0.757)

**Formation energy without anion corrections**: -1.237 eV/atom
**Symmetry**: No. 166
**Raw total energy**: -5.57 eV/atom
**Magnetic moment**: 0.000 μB/atom

No. 15
The following is a PBE calculation of crystalline SmScTe2 at its relaxed geometry, from Alexandria.

a b c (Å): 5.312 5.312 5.312
angles (deg): 60.00 60.00 60.00
Atoms (fractional coordinates):
Sm (0.000, 0.000, 0.000)
Sc (0.500, 0.500, 0.500)
Te (0.250, 0.250, 0.250)
Te (0.750, 0.750, 0.750)

**Formation energy without anion corrections**: -1.079 eV/atom
**Symmetry**: No. 225
**Raw total energy**: -5.41 eV/atom
**Magnetic moment**: 0.364 μB/atom

No. 16
The following is a PBE calculation of crystalline Sm4ScTe5 at its relaxed geometry, from Alexandria.

a b c (Å): 16.193 16.193 16.193
angles (deg): 164.58 164.58 21.87
Atoms (fractional coordinates):
Sm (0.106, 0.106, 0.000)
Sm (0.312, 0.312, 0.000)
Sm (0.688, 0.688, 0.000)
Sm (0.894, 0.894, 0.000)
Sc (0.500, 0.500, 0.000)
Te (0.000, 0.000, 0.000)
Te (0.207, 0.207, 0.000)
Te (0.409, 0.409, 0.000)
Te (0.591, 0.591, 0.000)
Te (0.793, 0.793, 0.000)

**Formation energy without anion corrections**: -1.317 eV/atom
**Symmetry**: No. 139
**Raw total energy**: -5.41 eV/atom
**Magnetic moment**: 0.000 μB/atom

No. 17
The following is a PBE calculation of crystalline SmSc3Te6 at its relaxed geometry, from Alexandria.

a b c (Å): 12.088 4.221 12.375
angles (deg): 90.00 109.40 90.00
Atoms (fractional coordinates):
Sm (0.050, 0.250, 0.201)
Sm (0.950, 0.750, 0.799)
Sc (0.156, 0.250, 0.584)
Sc (0.317, 0.750, 0.998)
Sc (0.438, 0.250, 0.339)
Sc (0.562, 0.750, 0.661)
Sc (0.683, 0.250, 0.002)
Sc (0.844, 0.750, 0.416)
Te (0.084, 0.750, 0.409)
Te (0.119, 0.250, 0.969)
Te (0.200, 0.750, 0.749)
Te (0.266, 0.750, 0.225)
Te (0.390, 0.250, 0.560)
Te (0.479, 0.250, 0.116)
Te (0.521, 0.750, 0.884)
Te (0.610, 0.750, 0.440)
Te (0.734, 0.250, 0.775)
Te (0.800, 0.250, 0.251)
Te (0.881, 0.750, 0.031)
Te (0.916, 0.250, 0.591)

**Formation energy without anion corrections**: -1.253 eV/atom
**Symmetry**: No. 11
**Raw total energy**: -5.51 eV/atom
**Magnetic moment**: 0.000 μB/atom

No. 18
The following is a PBE calculation of crystalline SmSc3Te3 at its relaxed geometry, from Alexandria.

a b c (Å): 7.631 7.631 7.631
angles (deg): 69.76 69.76 69.76
Atoms (fractional coordinates):
Sm (0.174, 0.174, 0.174)
Sm (0.826, 0.826, 0.826)
Sc (0.178, 0.429, 0.667)
Sc (0.333, 0.822, 0.571)
Sc (0.429, 0.667, 0.178)
Sc (0.571, 0.333, 0.822)
Sc (0.667, 0.178, 0.429)
Sc (0.822, 0.571, 0.333)
Te (0.032, 0.796, 0.404)
Te (0.204, 0.596, 0.968)
Te (0.404, 0.032, 0.796)
Te (0.596, 0.968, 0.204)
Te (0.796, 0.404, 0.032)
Te (0.968, 0.204, 0.596)

**Formation energy without anion corrections**: -0.914 eV/atom
**Symmetry**: No. 148
**Raw total energy**: -5.65 eV/atom
**Magnetic moment**: 0.028 μB/atom

No. 19
The following is a PBE calculation of crystalline Sm2ScTe4 at its relaxed geometry, from Alexandria.

a b c (Å): 8.279 8.279 7.670
angles (deg): 117.40 117.40 30.34
Atoms (fractional coordinates):
Sm (0.241, 0.241, 0.229)
Sm (0.759, 0.759, 0.771)
Sc (0.500, 0.500, 0.500)
Te (0.120, 0.120, 0.463)
Te (0.388, 0.388, 0.067)
Te (0.612, 0.612, 0.933)
Te (0.880, 0.880, 0.537)

**Formation energy without anion corrections**: -1.345 eV/atom
**Symmetry**: No. 12
**Raw total energy**: -5.39 eV/atom
**Magnetic moment**: 0.000 μB/atom

No. 20
The following is a PBE calculation of crystalline SmSc2Te4 at its relaxed geometry, from Alexandria.

a b c (Å): 7.185 7.185 14.484
angles (deg): 90.00 90.00 146.12
Atoms (fractional coordinates):
Sm (0.125, 0.875, 0.750)
Sm (0.875, 0.125, 0.250)
Sc (0.371, 0.629, 0.566)
Sc (0.371, 0.629, 0.934)
Sc (0.629, 0.371, 0.066)
Sc (0.629, 0.371, 0.434)
Te (0.000, 0.000, 0.000)
Te (0.000, 0.000, 0.500)
Te (0.273, 0.727, 0.116)
Te (0.273, 0.727, 0.384)
Te (0.455, 0.545, 0.750)
Te (0.545, 0.455, 0.250)
Te (0.727, 0.273, 0.616)
Te (0.727, 0.273, 0.884)

**Formation energy without anion corrections**: -1.268 eV/atom
**Symmetry**: No. 63
**Raw total energy**: -5.55 eV/atom
**Magnetic moment**: 0.000 μB/atom